1.
The following is a DFT calculation (PBE) of a relaxed structure of Nd12Si6Bi.

Unit cell a=8.9163 b=8.9163 c=8.9163 alpha=109.47 beta=109.47 gamma=109.47
Fractional positions:
Nd: 0.1081 0.8103 0.2978
Nd: 0.1897 0.2978 0.4875
Nd: 0.1897 0.7022 0.8919
Nd: 0.2978 0.1081 0.8103
Nd: 0.2978 0.4875 0.1897
Nd: 0.4875 0.1897 0.2978
Nd: 0.5125 0.8103 0.7022
Nd: 0.7022 0.5125 0.8103
Nd: 0.7022 0.8919 0.1897
Nd: 0.8103 0.2978 0.1081
Nd: 0.8103 0.7022 0.5125
Nd: 0.8919 0.1897 0.7022
Si: 0.1135 0.6135 0.5000
Si: 0.3865 0.5000 0.8865
Si: 0.5000 0.1135 0.6135
Si: 0.5000 0.8865 0.3865
Si: 0.6135 0.5000 0.1135
Si: 0.8865 0.3865 0.5000
Bi: 0.0000 0.0000 0.0000

Values from the calculation:
- Total magnetization: 0.027 μB/cell
- Symmetry: Im-3, No. 204
- DFT total energy: -5.486 eV per atom
- ρ: 6.4 g cm⁻³


2.
The following is a DFT calculation (PBE) of a relaxed structure of Cs4Hg2Br.

Unit cell a=6.3958 b=6.1262 c=11.0158 alpha=90.00 beta=103.64 gamma=90.00
Fractional positions:
Cs: 0.0996 0.0000 0.1975
Cs: 0.3666 0.5000 0.6652
Cs: 0.6334 0.5000 0.3348
Cs: 0.9004 0.0000 0.8025
Hg: 0.2479 0.5000 0.9969
Hg: 0.7521 0.5000 0.0031
Br: 0.5000 0.0000 0.5000

Values from the calculation:
- Total magnetization: 0.000 μB/cell
- Symmetry: P2/m, No. 10
- ΔE to the lowest computed polymorph: 0 meV per atom
- ρ: 4.0 g cm⁻³


3.
The following is a DFT calculation (PBE) of a relaxed structure of Ce2AgAu.

Unit cell a=3.7853 b=3.7853 c=7.1013 alpha=90.00 beta=90.00 gamma=90.00
Fractional positions:
Ce: 0.0000 0.0000 0.2413
Ce: 0.0000 0.0000 0.7587
Ag: 0.5000 0.5000 0.5000
Au: 0.5000 0.5000 0.0000

Values from the calculation:
- Total magnetization: 2.202 μB/cell
- Symmetry: P4/mmm, No. 123
- DFT total energy: -4.824 eV per atom
- ρ: 9.5 g cm⁻³


4.
The following is a DFT calculation (PBE) of a relaxed structure of HgBPd2.

Unit cell a=6.2239 b=6.2239 c=6.2239 alpha=90.00 beta=90.00 gamma=90.00
Fractional positions:
Hg: 0.0000 0.0000 0.0000
Hg: 0.0000 0.5000 0.5000
Hg: 0.5000 0.0000 0.5000
Hg: 0.5000 0.5000 0.0000
B: 0.0000 0.0000 0.5000
B: 0.0000 0.5000 0.0000
B: 0.5000 0.0000 0.0000
B: 0.5000 0.5000 0.5000
Pd: 0.2500 0.2500 0.2500
Pd: 0.2500 0.2500 0.7500
Pd: 0.2500 0.7500 0.2500
Pd: 0.2500 0.7500 0.7500
Pd: 0.7500 0.2500 0.2500
Pd: 0.7500 0.2500 0.7500
Pd: 0.7500 0.7500 0.2500
Pd: 0.7500 0.7500 0.7500

Values from the calculation:
- Total magnetization: 0.000 μB/cell
- Symmetry: Fm-3m, No. 225
- ΔE to the lowest computed polymorph: 747 meV per atom
- ρ: 11.7 g cm⁻³


5.
The following is a DFT calculation (PBE) of a relaxed structure of La7Ag2Pd2.

Unit cell a=7.0694 b=7.0694 c=7.3776 alpha=90.00 beta=90.00 gamma=109.93
Fractional positions:
La: 0.0000 0.0000 0.0000
La: 0.0000 0.5000 0.2751
La: 0.0000 0.5000 0.7249
La: 0.5000 0.0000 0.2751
La: 0.5000 0.0000 0.7249
La: 0.5000 0.5000 0.2573
La: 0.5000 0.5000 0.7427
Ag: 0.1693 0.1693 0.5000
Ag: 0.8307 0.8307 0.5000
Pd: 0.2894 0.7106 0.0000
Pd: 0.7106 0.2894 0.0000

Values from the calculation:
- Total magnetization: 0.000 μB/cell
- Symmetry: Cmmm, No. 65
- ΔE to the lowest computed polymorph: 124 meV per atom
- ρ: 6.7 g cm⁻³


6.
The following is a DFT calculation (PBE) of a relaxed structure of TaMoRu2.

Unit cell a=3.1662 b=3.1662 c=6.3023 alpha=90.00 beta=90.00 gamma=90.00
Fractional positions:
Ta: 0.0000 0.0000 0.0000
Mo: 0.5000 0.5000 0.2768
Ru: 0.0000 0.0000 0.4834
Ru: 0.5000 0.5000 0.7814

Values from the calculation:
- Total magnetization: 0.000 μB/cell
- Symmetry: P4mm, No. 99
- ΔE to the lowest computed polymorph: 59 meV per atom
- ρ: 12.6 g cm⁻³